(1)
The following is a PBE+U calculation of a geometry-optimized VRhNO2 structure, from Alexandria.

The structure in POSCAR format:
```
VRhNO2
1.0
3.6991 0.0000 0.0000
0.0000 3.6991 0.0000
0.0000 0.0000 3.9825
V Rh N O
1 1 1 2
direct
0.0000 0.0000 0.0000
0.5000 0.5000 0.5000
0.0000 0.0000 0.5000
0.0000 0.5000 0.0000
0.5000 0.0000 0.0000
```

Computed properties:
The calculation puts the total energy at -6.672 eV per atom. Its crystal system is tetragonal. Its space group is P4/mmm (123).

---

(2)
The following is a PBE+U calculation of a geometry-optimized RhWN2O structure, from Alexandria.

The structure in POSCAR format:
```
RhWN2O
1.0
3.8506 0.0000 0.0000
0.0000 3.8506 0.0000
0.0000 0.0000 3.8792
Rh W N O
1 1 2 1
direct
0.0000 0.0000 0.0000
0.5000 0.5000 0.5000
0.0000 0.5000 0.0000
0.5000 0.0000 0.0000
0.0000 0.0000 0.5000
```

Computed properties:
The calculation puts the total energy at -5.826 eV per atom. Its crystal system is tetragonal. Its space group is P4/mmm (123).

---

(3)
The following is a PBE+U calculation of a geometry-optimized RhWN2O structure, from Alexandria.

The structure in POSCAR format:
```
RhWN2O
1.0
4.0091 0.0000 0.0000
0.0000 4.0091 0.0000
0.0000 0.0000 3.8562
Rh W N O
1 1 2 1
direct
0.0000 0.0000 0.0000
0.5000 0.5000 0.5000
0.0000 0.5000 0.5000
0.5000 0.0000 0.5000
0.5000 0.5000 0.0000
```

Computed properties:
The calculation puts the total energy at -6.825 eV per atom. Its crystal system is tetragonal. Its space group is P4/mmm (123).

---

(4)
The following is a PBE+U calculation of a geometry-optimized RhWN2O structure, from Alexandria.

The structure in POSCAR format:
```
RhWN2O
1.0
3.5947 0.0000 0.0000
0.0000 3.5947 0.0000
0.0000 0.0000 5.7326
Rh W N O
1 1 2 1
direct
0.0000 0.0000 0.0000
0.0000 0.0000 0.5000
0.0000 0.5000 0.0000
0.5000 0.0000 0.0000
0.5000 0.5000 0.5000
```

Computed properties:
The calculation puts the total energy at -6.014 eV per atom. Its crystal system is tetragonal. Its space group is P4/mmm (123).